The following is a DFT calculation (PBE+U) of a relaxed BaPuFeO5 crystal. Values from VASP.

Properties
- Total moment: 8.00 μB/f.u.
- Electronic total energy: -132.44 eV per cell
- Symmetry: No. 15

```
&SYSTEM
  ibrav = 0, nat = 16, ntyp = 4
/
ATOMIC_SPECIES
Ba 137.33 Ba.upf
Pu 244.00 Pu.upf
Fe 55.84 Fe.upf
O 16.00 O.upf
CELL_PARAMETERS angstrom
3.700 -4.969 0.000
3.700 4.969 0.000
-3.216 0.000 7.297
ATOMIC_POSITIONS crystal
Ba 0.167 0.833 0.750
Ba 0.833 0.167 0.250
Pu 0.500 0.500 0.000
Pu 0.500 0.500 0.500
Fe 0.188 0.812 0.250
Fe 0.812 0.188 0.750
O 0.130 0.260 0.901
O 0.206 0.611 0.398
O 0.260 0.130 0.401
O 0.389 0.794 0.102
O 0.435 0.565 0.750
O 0.565 0.435 0.250
O 0.611 0.206 0.898
O 0.740 0.870 0.599
O 0.794 0.389 0.602
O 0.870 0.740 0.099
```